Record 1
First-principles (PBE) data for Nd2SmHoS4 after structural relaxation, as listed in Alexandria.

Total moment: 0.000 μB per formula unit
Formation energy from raw total energies: -16.09 eV/f.u.

Cell: 6.9343 3.9603 7.0156 Å, 90.00 108.87 90.00°
Space group P2/m (No. 10)
One atom of each set of equivalent atoms:
Nd  0.0000  0.0000  0.0000 (multiplicity 1)
Nd  0.5000  0.5000  0.0000 (multiplicity 1)
Sm  0.0000  0.5000  0.5000 (multiplicity 1)
Ho  0.5000  0.0000  0.5000 (multiplicity 1)
S  0.2523  0.0000  0.7400 (multiplicity 2)
S  0.2605  0.5000  0.2641 (multiplicity 2)


Record 2
First-principles (PBE) data for YZnPb after structural relaxation, as listed in Alexandria.

Total moment: 0.000 μB per formula unit
Energy relative to the elements: -23.87 kJ per mole of atoms

Cell: 6.7652 6.7652 6.7652 Å, 90.00 90.00 90.00°
Space group F-43m (No. 216)
One atom of each set of equivalent atoms:
Y  0.0000  0.0000  0.0000 (multiplicity 4)
Zn  0.2500  0.2500  0.2500 (multiplicity 4)
Pb  0.0000  0.0000  0.5000 (multiplicity 4)


Record 3
First-principles (PBE) data for TiInAg3 after structural relaxation, as listed in Alexandria.

Total moment: 0.031 μB per formula unit
Energy relative to the elements: 94.74 kJ per mole of atoms
Distance to the lowest polymorph of the same formula: 0.36 eV/f.u.

Cell: 5.0546 5.0546 5.0546 Å, 90.00 90.00 90.00°
Space group Pm-3m (No. 221)
One atom of each set of equivalent atoms:
Ti  0.0000  0.0000  0.0000 (multiplicity 1)
In  0.5000  0.5000  0.5000 (multiplicity 1)
Ag  0.0000  0.5000  0.5000 (multiplicity 3)